No. 1
! CsOs2Pd PBE relaxed; values from VASP
! density of states at the Fermi level = 1.15 states/eV/atom
! theoretical density = 10.9 g/cm³
! calculated total energy = -5.641 eV per atom
! ΔE_f = 5.94 eV/f.u.
! E above lowest polymorph = 0.0 meV/atom
! magnetic moment = 0.00 Bohr magnetons per cell
&SYSTEM
  ibrav = 0, nat = 8, ntyp = 3
/
ATOMIC_SPECIES
Pd 106.42 Pd.upf
Os 190.23 Os.upf
Cs 132.91 Cs.upf
CELL_PARAMETERS angstrom
-0.156 -3.194 2.888
4.170 0.610 0.901
-0.530 5.369 9.124
ATOMIC_POSITIONS crystal
Pd 0.500 0.500 0.000
Pd 0.250 0.750 0.500
Os 0.875 0.504 0.750
Os 0.254 0.125 0.250
Os 0.496 0.625 0.250
Os 0.375 0.746 0.750
Cs 0.000 0.000 0.000
Cs 0.750 0.250 0.500

***

No. 2
! CsOsPd3 PBE relaxed; values from VASP
! density of states at the Fermi level = 1.52 states/eV/atom
! theoretical density = 8.5 g/cm³
! calculated total energy = -4.643 eV per atom
! ΔE_f = 4.45 eV/f.u.
! E above lowest polymorph = 0.0 meV/atom
! magnetic moment = 0.00 Bohr magnetons per cell
&SYSTEM
  ibrav = 0, nat = 5, ntyp = 3
/
ATOMIC_SPECIES
Pd 106.42 Pd.upf
Os 190.23 Os.upf
Cs 132.91 Cs.upf
CELL_PARAMETERS angstrom
-4.055 2.915 -0.296
-1.202 -1.194 4.707
2.672 3.887 1.668
ATOMIC_POSITIONS crystal
Pd 0.000 0.000 0.500
Pd 0.000 0.500 0.000
Pd 0.500 0.000 0.000
Os 0.000 0.000 0.000
Cs 0.500 0.500 0.500

***

No. 3
! CsOs2Pd PBE relaxed; values from VASP
! density of states at the Fermi level = 2.07 states/eV/atom
! theoretical density = 14.1 g/cm³
! calculated total energy = -4.928 eV per atom
! ΔE_f = 8.80 eV/f.u.
! E above lowest polymorph = 713.2 meV/atom
! magnetic moment = 0.00 Bohr magnetons per cell
&SYSTEM
  ibrav = 0, nat = 4, ntyp = 3
/
ATOMIC_SPECIES
Pd 106.42 Pd.upf
Cs 132.91 Cs.upf
Os 190.23 Os.upf
CELL_PARAMETERS angstrom
-0.906 -0.691 4.551
-1.361 3.592 2.693
-4.415 0.213 1.571
ATOMIC_POSITIONS crystal
Pd 0.000 0.000 0.000
Cs 0.500 0.500 0.500
Os 0.750 0.750 0.750
Os 0.250 0.250 0.250

***

No. 4
! CsOsPdRh2 PBE relaxed; values from VASP
! density of states at the Fermi level = 1.47 states/eV/atom
! theoretical density = 8.9 g/cm³
! calculated total energy = -3.589 eV per atom
! ΔE_f = 14.04 eV/f.u.
! magnetic moment = 2.76 Bohr magnetons per cell
&SYSTEM
  ibrav = 0, nat = 5, ntyp = 4
/
ATOMIC_SPECIES
Cs 132.91 Cs.upf
Pd 106.42 Pd.upf
Rh 102.91 Rh.upf
Os 190.23 Os.upf
CELL_PARAMETERS angstrom
4.858 0.000 0.000
0.000 5.006 0.000
0.000 0.000 4.858
ATOMIC_POSITIONS crystal
Cs 0.000 0.000 0.000
Pd 0.500 0.500 0.500
Rh 0.500 0.000 0.000
Rh 0.000 0.000 0.500
Os 0.000 0.500 0.000

***

No. 5
! CsSbOsPd2 PBE relaxed; values from VASP
! formation energy without anion corrections = 1.5868 eV per atom
! density of states at the Fermi level = 1.17 states/eV/atom
! theoretical density = 6.2 g/cm³
! calculated total energy = -3.731 eV per atom
! magnetic moment = 3.37 Bohr magnetons per cell
&SYSTEM
  ibrav = 0, nat = 5, ntyp = 4
/
ATOMIC_SPECIES
Os 190.23 Os.upf
Sb 121.76 Sb.upf
Cs 132.91 Cs.upf
Pd 106.42 Pd.upf
CELL_PARAMETERS angstrom
5.039 0.000 0.000
0.000 6.923 0.000
0.000 0.000 5.039
ATOMIC_POSITIONS crystal
Os 0.500 0.500 0.500
Sb 0.000 0.000 0.000
Cs 0.000 0.500 0.000
Pd 0.500 0.000 0.000
Pd 0.000 0.000 0.500

***

No. 6
! Cs2OsPt PBE relaxed; values from VASP
! density of states at the Fermi level = 0.67 states/eV/atom
! theoretical density = 5.5 g/cm³
! calculated total energy = -3.807 eV per atom
! ΔE_f = 3.75 eV/f.u.
! E above lowest polymorph = 0.0 meV/atom
! magnetic moment = 3.29 Bohr magnetons per cell
&SYSTEM
  ibrav = 0, nat = 8, ntyp = 3
/
ATOMIC_SPECIES
Cs 132.91 Cs.upf
Os 190.23 Os.upf
Pt 195.08 Pt.upf
CELL_PARAMETERS angstrom
-6.325 6.325 2.436
6.325 -6.325 2.436
6.325 6.325 -2.436
ATOMIC_POSITIONS crystal
Cs 0.625 0.962 0.837
Cs 0.125 0.788 0.163
Cs 0.212 0.375 0.337
Cs 0.038 0.875 0.663
Os 0.750 0.250 0.500
Os 0.500 0.500 0.000
Pt 0.250 0.750 0.500
Pt 0.000 0.000 0.000

***

No. 7
! Cs2OsPt PBE relaxed; values from VASP
! density of states at the Fermi level = 1.34 states/eV/atom
! theoretical density = 8.8 g/cm³
! calculated total energy = -2.944 eV per atom
! ΔE_f = 7.20 eV/f.u.
! E above lowest polymorph = 862.9 meV/atom
! magnetic moment = 3.99 Bohr magnetons per cell
&SYSTEM
  ibrav = 0, nat = 4, ntyp = 3
/
ATOMIC_SPECIES
Cs 132.91 Cs.upf
Pt 195.08 Pt.upf
Os 190.23 Os.upf
CELL_PARAMETERS angstrom
-0.447 1.132 5.436
-3.658 3.815 1.759
-4.541 -1.583 2.810
ATOMIC_POSITIONS crystal
Cs 0.250 0.250 0.250
Cs 0.750 0.750 0.750
Pt 0.500 0.500 0.500
Os 0.000 0.000 0.000

***

No. 8
! CsOsRuPt2 PBE relaxed; values from VASP
! density of states at the Fermi level = 1.29 states/eV/atom
! theoretical density = 11.0 g/cm³
! calculated total energy = -3.458 eV per atom
! ΔE_f = 16.15 eV/f.u.
! magnetic moment = 3.66 Bohr magnetons per cell
&SYSTEM
  ibrav = 0, nat = 5, ntyp = 4
/
ATOMIC_SPECIES
Pt 195.08 Pt.upf
Ru 101.07 Ru.upf
Cs 132.91 Cs.upf
Os 190.23 Os.upf
CELL_PARAMETERS angstrom
-2.996 3.610 1.815
-3.519 -1.386 -3.052
-1.749 -3.196 3.468
ATOMIC_POSITIONS crystal
Pt 0.000 0.000 0.500
Pt 0.500 0.000 0.000
Ru 0.000 0.500 0.000
Cs 0.000 0.000 0.000
Os 0.500 0.500 0.500

***

No. 9
! CsZn2OsPt PBE relaxed; values from VASP
! density of states at the Fermi level = 0.50 states/eV/atom
! theoretical density = 8.5 g/cm³
! calculated total energy = -3.725 eV per atom
! ΔE_f = 2.05 eV/f.u.
! magnetic moment = 0.00 Bohr magnetons per cell
&SYSTEM
  ibrav = 0, nat = 5, ntyp = 4
/
ATOMIC_SPECIES
Os 190.23 Os.upf
Pt 195.08 Pt.upf
Zn 65.41 Zn.upf
Cs 132.91 Cs.upf
CELL_PARAMETERS angstrom
5.069 0.000 0.000
0.000 4.925 0.000
0.000 0.000 5.069
ATOMIC_POSITIONS crystal
Os 0.000 0.000 0.000
Pt 0.000 0.500 0.000
Zn 0.000 0.000 0.500
Zn 0.500 0.000 0.000
Cs 0.500 0.500 0.500

***

No. 10
! Cs2RbOs PBE relaxed; values from VASP
! density of states at the Fermi level = 1.32 states/eV/atom
! theoretical density = 5.6 g/cm³
! calculated total energy = -2.104 eV per atom
! ΔE_f = 5.49 eV/f.u.
! E above lowest polymorph = 0.0 meV/atom
! magnetic moment = 1.13 Bohr magnetons per cell
&SYSTEM
  ibrav = 0, nat = 4, ntyp = 3
/
ATOMIC_SPECIES
Cs 132.91 Cs.upf
Rb 85.47 Rb.upf
Os 190.23 Os.upf
CELL_PARAMETERS angstrom
0.000 4.314 4.314
4.314 0.000 4.314
4.314 4.314 0.000
ATOMIC_POSITIONS crystal
Cs 0.750 0.750 0.750
Cs 0.250 0.250 0.250
Rb 0.000 0.000 0.000
Os 0.500 0.500 0.500

***

No. 11
! Cs2RbOs PBE relaxed; values from VASP
! density of states at the Fermi level = 1.14 states/eV/atom
! theoretical density = 3.2 g/cm³
! calculated total energy = -2.018 eV per atom
! ΔE_f = 5.83 eV/f.u.
! E above lowest polymorph = 86.5 meV/atom
! magnetic moment = 1.46 Bohr magnetons per cell
&SYSTEM
  ibrav = 0, nat = 8, ntyp = 3
/
ATOMIC_SPECIES
Cs 132.91 Cs.upf
Rb 85.47 Rb.upf
Os 190.23 Os.upf
CELL_PARAMETERS angstrom
-4.112 -0.966 8.219
-7.392 5.132 2.099
-8.345 -3.929 0.557
ATOMIC_POSITIONS crystal
Cs 0.125 0.625 0.625
Cs 0.625 0.625 0.625
Cs 0.625 0.625 0.125
Cs 0.625 0.125 0.625
Rb 0.000 0.000 0.000
Rb 0.250 0.250 0.250
Os 0.750 0.750 0.750
Os 0.500 0.500 0.500

***

No. 12
! CsRbOs3 PBE relaxed; values from VASP
! density of states at the Fermi level = 1.07 states/eV/atom
! theoretical density = 9.2 g/cm³
! calculated total energy = -3.447 eV per atom
! ΔE_f = 18.28 eV/f.u.
! magnetic moment = 5.72 Bohr magnetons per cell
&SYSTEM
  ibrav = 0, nat = 5, ntyp = 3
/
ATOMIC_SPECIES
Rb 85.47 Rb.upf
Os 190.23 Os.upf
Cs 132.91 Cs.upf
CELL_PARAMETERS angstrom
5.215 0.000 0.000
0.000 5.215 0.000
0.000 0.000 5.215
ATOMIC_POSITIONS crystal
Rb 0.500 0.500 0.500
Os 0.500 0.000 0.000
Os 0.000 0.000 0.500
Os 0.000 0.500 0.000
Cs 0.000 0.000 0.000

***

No. 13
! CsRb2Os2 PBE relaxed; values from VASP
! density of states at the Fermi level = 1.87 states/eV/atom
! theoretical density = 6.8 g/cm³
! calculated total energy = -3.591 eV per atom
! ΔE_f = 7.29 eV/f.u.
! magnetic moment = 0.00 Bohr magnetons per cell
&SYSTEM
  ibrav = 0, nat = 10, ntyp = 3
/
ATOMIC_SPECIES
Os 190.23 Os.upf
Rb 85.47 Rb.upf
Cs 132.91 Cs.upf
CELL_PARAMETERS angstrom
10.336 0.000 0.000
0.000 10.336 0.000
0.000 0.000 3.110
ATOMIC_POSITIONS crystal
Os 0.424 0.076 0.500
Os 0.924 0.424 0.500
Os 0.076 0.576 0.500
Os 0.576 0.924 0.500
Rb 0.197 0.303 0.000
Rb 0.697 0.197 0.000
Rb 0.303 0.803 0.000
Rb 0.803 0.697 0.000
Cs 0.000 0.000 0.000
Cs 0.500 0.500 0.000